A plane-wave DFT calculation with PBE was carried out for a relaxed structure of Na2Be3Au9.

Values from the calculation:
Crystal system = monoclinic
ρ = 12978 kg/m³
Uncorrected energy = -182.874 eV/cell

```
data_Na2Be3Au9
_chemical_formula_sum 'Na8 Be12 Au36'
_cell_length_a 13.033
_cell_length_b 7.534
_cell_length_c 10.515
_cell_angle_alpha 90.00
_cell_angle_beta 113.82
_cell_angle_gamma 90.00
_symmetry_space_group_name_H-M 'C 1 2/c 1'
_symmetry_Int_Tables_number 15
loop_
_symmetry_equiv_pos_as_xyz
'x,y,z'
'-x,-y,-z'
'-x,y,-z+1/2'
'x,-y,z+1/2'
'x+1/2,y+1/2,z'
'-x+1/2,-y+1/2,-z'
'-x+1/2,y+1/2,-z+1/2'
'x+1/2,-y+1/2,z+1/2'
loop_
_atom_site_label
_atom_site_type_symbol
_atom_site_fract_x
_atom_site_fract_y
_atom_site_fract_z
_atom_site_occupancy
Na1 Na 0.166 0.083 0.250 1
Be1 Be 0.085 0.243 0.501 1
Be2 Be 0.250 0.250 0.000 1
Au1 Au 0.000 0.348 0.250 1
Au2 Au 0.061 0.082 0.935 1
Au3 Au 0.108 0.415 0.071 1
Au4 Au 0.117 0.300 0.751 1
Au5 Au 0.229 0.416 0.436 1
```